No. 1
Computed, not measured: a relaxed structure of NiPtRh6 at the GGA-PBE level of DFT.

Structure (POSCAR):
```
NiPtRh6
1.0
3.8414 0.0000 0.0000
0.0000 3.8414 0.0000
0.0000 0.0000 7.6430
Ni Pt Rh
1 1 6
direct
0.0000 0.0000 0.0000
0.0000 0.0000 0.5000
0.0000 0.5000 0.2435
0.0000 0.5000 0.7565
0.5000 0.0000 0.2435
0.5000 0.0000 0.7565
0.5000 0.5000 0.0000
0.5000 0.5000 0.5000
```

The calculation puts the final energy at -55.8 eV per cell. The calculated volume comes out at 14.10 Å³ per atom. The energy relative to the lowest polymorph listed for this composition comes out at 0.06 eV/f.u. The calculation puts the energy of formation at 0.02 eV per atom. Its crystal system is tetragonal. Its symmetry is No. 123.



No. 2
Computed, not measured: a relaxed structure of AgRhI3 at the GGA-PBE level of DFT.

Structure (POSCAR):
```
AgRhI3
1.0
5.4309 0.0000 0.0000
0.0000 5.4309 0.0000
0.0000 0.0000 5.4309
Ag Rh I
1 1 3
direct
0.0000 0.0000 0.0000
0.5000 0.5000 0.5000
0.0000 0.5000 0.5000
0.5000 0.0000 0.5000
0.5000 0.5000 0.0000
```

The calculation puts the final energy at -13.6 eV per cell. The calculated volume comes out at 32.04 Å³ per atom. The energy relative to the lowest polymorph listed for this composition comes out at 0.00 eV/f.u. The energy relative to the elements, uncorrected is 0.25 eV per atom. Its crystal system is cubic. Its symmetry is No. 221.



No. 3
Computed, not measured: a relaxed structure of MgP2N2 at the GGA-PBE level of DFT.

Structure (POSCAR):
```
MgP2N2
1.0
-1.5632 1.5632 8.6296
1.5632 -1.5632 8.6296
1.5632 1.5632 -8.6296
Mg P N
1 2 2
direct
0.0000 0.0000 0.0000
0.2500 0.7500 0.5000
0.7500 0.2500 0.5000
0.4621 0.4621 0.0000
0.5379 0.5379 0.0000
```

The calculation puts the final energy at -27.0 eV per cell. The calculated volume comes out at 16.87 Å³ per atom. The energy relative to the lowest polymorph listed for this composition comes out at 1.05 eV/f.u. The energy relative to the elements, uncorrected is 0.41 eV per atom. Its crystal system is tetragonal. Its symmetry is No. 139.



No. 4
Computed, not measured: a relaxed structure of AgRhBr2 at the GGA-PBE level of DFT.

Structure (POSCAR):
```
AgRhBr2
1.0
4.4622 0.0000 0.0000
0.0000 2.5767 4.1520
0.0000 -2.5767 4.1520
Ag Rh Br
1 1 2
direct
0.0000 0.0000 0.0000
0.5000 0.7755 0.7755
0.0000 0.6514 0.6514
0.5000 0.2263 0.2263
```

The calculation puts the final energy at -13.2 eV per cell. The calculated volume comes out at 23.87 Å³ per atom. The energy relative to the lowest polymorph listed for this composition comes out at 0.70 eV/f.u. The energy relative to the elements, uncorrected is 0.10 eV per atom. Its crystal system is orthorhombic. Its symmetry is No. 38.



No. 5
Computed, not measured: a relaxed structure of Dy2ErAg3Te6 at the GGA-PBE level of DFT.

Structure (POSCAR):
```
Dy2ErAg3Te6
1.0
9.9311 -2.1866 0.0000
9.9311 2.1866 0.0000
-1.9651 0.0000 8.2193
Dy Er Ag Te
2 1 3 6
direct
0.1735 0.1735 0.3063
0.8265 0.8265 0.6937
0.5000 0.5000 0.0000
0.2047 0.2047 0.7818
0.5000 0.5000 0.5000
0.7953 0.7953 0.2182
0.0141 0.0141 0.2601
0.3361 0.3361 0.4339
0.3420 0.3420 0.9618
0.6580 0.6580 0.0382
0.6639 0.6639 0.5661
0.9859 0.9859 0.7399
```

The calculation puts the final energy at -51.2 eV per cell. The calculated volume comes out at 29.75 Å³ per atom. The energy relative to the elements, uncorrected is -0.84 eV per atom. Its crystal system is monoclinic. Its symmetry is No. 12.



No. 6
Computed, not measured: a relaxed structure of Tb2Y3Sc at the GGA-PBE level of DFT.

Structure (POSCAR):
```
Tb2Y3Sc
1.0
8.6092 -3.5178 0.0000
8.6092 3.5178 0.0000
-0.0051 0.0000 6.0938
Tb Y Sc
4 6 2
direct
0.0394 0.2911 0.4152
0.2911 0.0394 0.9152
0.7089 0.9606 0.0848
0.9606 0.7089 0.5848
0.1279 0.8721 0.2500
0.2129 0.4601 0.0794
0.4601 0.2129 0.5794
0.5399 0.7871 0.4206
0.7871 0.5399 0.9206
0.8721 0.1279 0.7500
0.3772 0.6228 0.7500
0.6228 0.3772 0.2500
```

The calculation puts the final energy at -69.5 eV per cell. The calculated volume comes out at 30.76 Å³ per atom. The energy relative to the lowest polymorph listed for this composition comes out at 0.00 eV/f.u. The calculation puts the energy of formation at 0.04 eV per atom. Its crystal system is monoclinic. Its symmetry is No. 15.